DFT (PBE) results for an optimized crystal structure of ErTmCSe.

Output
Space group = P-6m2 (187)
Size of the total moment = 0.001 μB/atom

a b c (Å): 3.710 3.710 13.087
angles (deg): 90.00 90.00 120.00
Sites, in units of the cell vectors:
Er  0.000  0.000  0.150
Er  0.000  0.000  0.850
Tm  0.667  0.333  0.350
Tm  0.667  0.333  0.650
C  0.333  0.667  0.250
C  0.333  0.667  0.750
Se  0.000  0.000  0.500
Se  0.667  0.333  0.000

DFT (PBE) results for an optimized crystal structure of ErTmCSe.

Output
Space group = P-3m1 (164)
Size of the total moment = 0.001 μB/atom

a b c (Å): 3.709 3.709 13.084
angles (deg): 90.00 90.00 120.00
Sites, in units of the cell vectors:
Er  0.333  0.667  0.100
Er  0.667  0.333  0.900
Tm  0.333  0.667  0.401
Tm  0.667  0.333  0.599
C  0.000  0.000  0.000
C  0.000  0.000  0.500
Se  0.333  0.667  0.750
Se  0.667  0.333  0.250

The following E values (in eV/atom) correspond, in order, to the records above: -6.620; -6.620.